Below is a relaxed Tl2FeBr crystal, with properties calculated at the PBE-GGA level.

Values from the calculation:
For the energy relative to the lowest polymorph listed for this composition, the calculation gives 0.285 eV per formula unit. For the formation energy without anion corrections, the calculation gives 0.188 eV per atom. The energy comes out at -3.53 eV per atom.

abc: 3.274 3.274 9.641
angles: 90.00 90.00 90.00
Site moments in Bohr magnetons follow the coordinates.
Fractional positions:
Br 0.000 0.000 0.586  0.14
Fe 0.500 0.500 0.733  3.08
Tl 0.000 0.000 0.948  -0.01
Tl 0.500 0.500 0.233  0.01